KAl | Alexandria via LeMat-Bulk | PBE-GGA | relaxed; VASP energy = -2.632 eV for the cell shown; SG = F-43m, No. 216; relative energy among the computed polymorphs = 22.76 kcal/mol of atoms; energy of formation = 1.104 eV/atom
1.0
0.000 3.914 3.914
3.914 0.000 3.914
3.914 3.914 0.000
K Al
1 1
Direct
0.000 0.000 0.000
0.250 0.250 0.250